(1)
# AgF

AgF after structural relaxation (PBE-GGA, OQMD).

a b c (Å): 3.4308 3.4058 4.9556
angles (deg): 90.00 100.29 90.00
Fractional coordinates of all 4 atoms:
Ag 0.1859 0.2500 0.7217
F 0.3085 0.2500 0.2271
Ag 0.8141 0.7500 0.2783
F 0.6915 0.7500 0.7729

E above lowest polymorph = 0 meV per atom
E = -13.2 eV for the cell shown
Crystal system = monoclinic

(2)
# Ag2F3

Ag2F3 after structural relaxation (PBE-GGA, OQMD).

a b c (Å): 6.1892 6.1892 6.1892
angles (deg): 55.49 55.49 55.49
Fractional coordinates of all 10 atoms:
F 0.5574 0.9395 0.2519
Ag 0.3481 0.3481 0.3481
Ag 0.6519 0.6519 0.6519
Ag 0.1514 0.1514 0.1514
Ag 0.8486 0.8486 0.8486
F 0.9395 0.2519 0.5574
F 0.0605 0.7481 0.4426
F 0.2519 0.5574 0.9395
F 0.4426 0.0605 0.7481
F 0.7481 0.4426 0.0605

E above lowest polymorph = 0 meV per atom
E = -33.0 eV for the cell shown
Crystal system = trigonal

(3)
# AgF

AgF after structural relaxation (PBE-GGA, OQMD).

a b c (Å): 5.1656 5.1656 3.5517
angles (deg): 90.00 90.00 143.53
Fractional coordinates of all 4 atoms:
Ag 0.8866 0.1134 0.7500
F 0.3655 0.6345 0.2500
Ag 0.1134 0.8866 0.2500
F 0.6345 0.3655 0.7500

E above lowest polymorph = 5 meV per atom
E = -13.2 eV for the cell shown
Crystal system = orthorhombic

(4)
# Ag2F3

Ag2F3 after structural relaxation (PBE-GGA, OQMD).

a b c (Å): 4.2215 4.2215 4.3496
angles (deg): 90.00 90.00 90.00
Fractional coordinates of all 5 atoms:
Ag 0.0000 0.0000 0.9853
Ag 0.5000 0.5000 0.5840
F 0.0000 0.5000 0.6220
F 0.5000 0.0000 0.6220
F 0.5000 0.5000 0.0867

E above lowest polymorph = 57 meV per atom
E = -16.2 eV for the cell shown
Crystal system = tetragonal

(5)
# AgF

AgF after structural relaxation (PBE-GGA, OQMD).

a b c (Å): 3.7239 3.7239 6.0842
angles (deg): 90.00 90.00 120.00
Fractional coordinates of all 4 atoms:
F 0.3333 0.6667 0.8750
Ag 0.3333 0.6667 0.5000
Ag 0.0000 0.0000 0.0000
F 0.0000 0.0000 0.3750

E above lowest polymorph = 84 meV per atom
E = -12.9 eV for the cell shown
Crystal system = hexagonal

(6)
# Ag3F4

Ag3F4 after structural relaxation (PBE-GGA, OQMD).

a b c (Å): 7.2792 7.2792 4.5701
angles (deg): 90.00 90.00 120.00
Fractional coordinates of all 14 atoms:
Ag 0.9692 0.3320 0.7500
Ag 0.6372 0.9692 0.2500
Ag 0.3628 0.0308 0.7500
F 0.3338 0.0599 0.2500
F 0.3333 0.6667 0.2500
F 0.6667 0.3333 0.7500
F 0.9401 0.2738 0.2500
Ag 0.0308 0.6680 0.2500
Ag 0.6680 0.6372 0.7500
Ag 0.3320 0.3628 0.2500
F 0.6662 0.9401 0.7500
F 0.7262 0.6662 0.2500
F 0.2738 0.3338 0.7500
F 0.0599 0.7262 0.7500

E = -46.5 eV for the cell shown
Crystal system = hexagonal

(7)
# AgF

AgF after structural relaxation (PBE-GGA, OQMD).

a b c (Å): 2.9750 2.9749 3.5179
angles (deg): 90.00 90.00 120.00
Fractional coordinates of all 2 atoms:
F 0.3333 0.6667 0.2500
Ag 0.6667 0.3333 0.7500

E above lowest polymorph = 34 meV per atom
E = -6.5 eV for the cell shown
Crystal system = hexagonal

(8)
# Ag2F3

Ag2F3 after structural relaxation (PBE-GGA, OQMD).

a b c (Å): 4.1936 4.1936 4.1936
angles (deg): 90.00 90.00 90.00
Fractional coordinates of all 5 atoms:
Ag 0.5000 0.5000 0.5000
F 0.5000 0.5000 0.0000
F 0.5000 0.0000 0.5000
F 0.0000 0.5000 0.5000
Ag 0.0000 0.0000 0.0000

E above lowest polymorph = 99 meV per atom
E = -16.0 eV for the cell shown
Crystal system = cubic

(9)
# AgF

AgF after structural relaxation (PBE-GGA, OQMD).

a b c (Å): 5.8927 5.8927 5.8927
angles (deg): 146.87 146.87 47.55
Fractional coordinates of all 4 atoms:
F 0.3603 0.3603 0.0000
Ag 0.1289 0.1289 0.0000
Ag 0.8711 0.8711 0.0000
F 0.6397 0.6397 0.0000

E above lowest polymorph = 29 meV per atom
E = -13.1 eV for the cell shown
Crystal system = tetragonal

(10)
# GaAg6F12

GaAg6F12 after structural relaxation (PBE-GGA, OQMD).

a b c (Å): 6.4978 6.4978 6.4978
angles (deg): 99.15 99.15 99.15
Fractional coordinates of all 19 atoms:
F 0.4319 0.1684 0.6212
F 0.3788 0.5681 0.8316
F 0.0585 0.2941 0.9859
Ag 0.4068 0.8546 0.7038
F 0.6212 0.4319 0.1684
Ag 0.1454 0.2962 0.5932
F 0.9415 0.7059 0.0141
F 0.9859 0.0585 0.2941
Ag 0.2962 0.5932 0.1454
Ag 0.7038 0.4068 0.8546
Ga 0.0000 0.0000 0.0000
Ag 0.8546 0.7038 0.4068
F 0.1684 0.6212 0.4319
F 0.2941 0.9859 0.0585
Ag 0.5932 0.1454 0.2962
F 0.8316 0.3788 0.5681
F 0.0141 0.9415 0.7059
F 0.5681 0.8316 0.3788
F 0.7059 0.0141 0.9415

E = -69.1 eV for the cell shown
Crystal system = trigonal

(11)
# LiGaAg2F6

LiGaAg2F6 after structural relaxation (PBE-GGA, OQMD).

a b c (Å): 5.3570 5.3570 5.3570
angles (deg): 60.00 60.00 60.00
Fractional coordinates of all 10 atoms:
Ag 0.2500 0.2500 0.2500
Ag 0.7500 0.7500 0.7500
F 0.2486 0.7514 0.2486
Ga 0.0000 0.0000 0.0000
F 0.7514 0.7514 0.2486
Li 0.5000 0.5000 0.5000
F 0.2486 0.2486 0.7514
F 0.7514 0.2486 0.2486
F 0.2486 0.7514 0.7514
F 0.7514 0.2486 0.7514

E = -41.8 eV for the cell shown
Crystal system = cubic

(12)
# Ag2GeF6

Ag2GeF6 after structural relaxation (PBE-GGA, OQMD).

a b c (Å): 5.4454 5.4357 9.2475
angles (deg): 90.00 125.35 90.00
Fractional coordinates of all 18 atoms:
Ge 0.5000 0.2500 0.0000
F 0.6911 0.2459 0.2387
Ag 0.2444 0.7276 0.7486
F 0.3089 0.7459 0.2613
F 0.2820 0.9790 0.9778
F 0.2820 0.0210 0.4778
F 0.6911 0.7541 0.7387
Ag 0.2444 0.2724 0.2486
Ag 0.7556 0.7724 0.2514
F 0.3089 0.2541 0.7613
F 0.2076 0.5517 0.4765
F 0.7180 0.5210 0.0221
F 0.7925 0.0517 0.0236
Ge 0.5000 0.7500 0.5000
F 0.2076 0.4483 0.9765
F 0.7180 0.4790 0.5221
Ag 0.7556 0.2276 0.7514
F 0.7925 0.9483 0.5236

E = -75.0 eV for the cell shown
Crystal system = monoclinic